Entry 1:
A relaxed structure of TbYCo, computed with PBE-GGA.

Cell lengths 3.487, 5.207, 7.881 Å; angles 90.00, 102.80, 90.00 degrees
Space group P2_1/m (No. 11)
Unique sites:
Tb: 0.208 0.250 0.416
Y: 0.070 0.750 0.137
Co: 0.428 0.750 0.854

* magnetic moment: 0.00 Bohr magnetons per cell
* ΔE to the lowest computed polymorph: 0.0589 eV/atom
* Fermi-level density of states: 0.619 states/eV/atom
* calculated formation energy: -0.06 eV/atom
* calculated volume: 23.257 A^3/atom
* mass density: 7.3 g/cm3
* uncorrected energy: -6.128 eV per atom

Entry 2:
A relaxed structure of Tb2YCo, computed with PBE-GGA.

Cell lengths 3.708, 11.879, 9.423 Å; angles 90.00, 90.00, 90.00 degrees
Space group Cmcm (No. 63)
Unique sites:
Tb: 0.000 0.140 0.072
Y: 0.000 0.416 0.250
Co: 0.000 0.258 0.750

* magnetic moment: 0.00 Bohr magnetons per cell
* ΔE to the lowest computed polymorph: 0.0253 eV/atom
* Fermi-level density of states: 1.306 states/eV/atom
* calculated formation energy: -0.12 eV/atom
* calculated volume: 25.945 A^3/atom
* mass density: 7.5 g/cm3
* uncorrected energy: -5.831 eV per atom

Entry 3:
A relaxed structure of Tb2YCo, computed with PBE-GGA.

Cell lengths 6.973, 9.527, 6.225 Å; angles 90.00, 90.00, 90.00 degrees
Space group Pnma (No. 62)
Unique sites:
Tb: 0.175 0.068 0.176
Y: 0.041 0.250 0.642
Co: 0.113 0.750 0.944

* magnetic moment: 0.00 Bohr magnetons per cell
* ΔE to the lowest computed polymorph: 0.0000 eV/atom
* Fermi-level density of states: 1.227 states/eV/atom
* calculated formation energy: -0.15 eV/atom
* calculated volume: 25.847 A^3/atom
* mass density: 7.5 g/cm3
* uncorrected energy: -5.856 eV per atom

Entry 4:
A relaxed structure of Tb3Y3Co2, computed with PBE-GGA.

Cell lengths 3.610, 13.178, 18.357 Å; angles 90.00, 90.00, 90.00 degrees
Space group Cmcm (No. 63)
Unique sites:
Tb: 0.000 0.056 0.250
Tb: 0.000 0.177 0.566
Y: 0.000 0.220 0.750
Y: 0.000 0.434 0.587
Co: 0.000 0.200 0.143

* magnetic moment: 0.00 Bohr magnetons per cell
* Fermi-level density of states: 1.131 states/eV/atom
* calculated formation energy: -0.05 eV/atom
* calculated volume: 27.290 A^3/atom
* mass density: 6.6 g/cm3
* uncorrected energy: -5.987 eV per atom

- Which value of magnetic moment does entry 1 give?
  0.00 Bohr magnetons per cell

- Which of these has the highest Fermi-level density of states?
  number 2